Density functional theory data (PBE with a Hubbard U) for a relaxed structure of CuHgMo2O8.

Lattice parameters (Å, degrees): 6.0825 6.0825 6.0825 110.09 110.09 108.24
Site moments in Bohr magnetons follow the coordinates.
Fractional coordinates of all 12 atoms:
O 0.3948 0.0965 0.2983  0.02
O 0.4341 0.6471 0.7870  0.08
Mo 0.7500 0.2500 0.5000  -0.01
Hg 0.0000 0.0000 0.0000  0.01
O 0.9035 0.2018 0.2983  0.02
O 0.7982 0.0965 0.7017  0.02
O 0.3529 0.5659 0.2130  0.08
Cu 0.2500 0.7500 0.5000  0.61
O 0.3529 0.1399 0.7870  0.08
O 0.8601 0.6471 0.2130  0.08
Mo 0.5000 0.5000 0.0000  0.00
O 0.9035 0.6052 0.7017  0.02

As for the volume: 173 Å³/f.u. The value obtained for the total energy is -5.86 eV per atom. As for the space group: I-4m2, No. 119.